No. 1
19
Lattice="6.056 3.497 3.888 -6.056 3.497 3.888 0.000 -6.993 3.888" Properties=species:S:1:pos:R:3 comment="Tm12Cu6Ru, relaxed, DFT PBE" delta_e_f_ev_per_atom=-0.03 final_energy_ev_per_atom=-4.639 pbc="T T T"
Tm -5.345 -1.422 6.336
Tm -1.441 -5.340 5.329
Tm -2.292 -0.272 4.554
Tm -3.904 3.918 5.329
Tm 1.382 -1.849 4.554
Tm -0.910 -2.121 7.111
Tm 0.910 2.121 4.554
Tm -1.382 1.849 7.111
Tm 3.904 -3.918 6.336
Tm 2.292 0.272 7.111
Tm 1.441 5.340 6.336
Tm 5.345 1.422 5.329
Cu -1.120 -2.836 4.153
Cu -1.896 2.388 4.153
Cu -3.016 -0.448 7.511
Cu 3.016 0.448 4.153
Cu 1.896 -2.388 7.511
Cu 1.120 2.836 7.511
Ru 0.000 0.000 0.000

***

No. 2
10
Lattice="3.390 0.000 0.000 0.000 3.390 0.000 0.000 0.000 17.193" Properties=species:S:1:pos:R:3 comment="Tm5Cu4Ru, relaxed, DFT PBE" delta_e_f_ev_per_atom=-0.35 final_energy_ev_per_atom=-5.148 pbc="T T T"
Tm 0.000 0.000 0.000
Tm 0.000 0.000 3.470
Tm 0.000 0.000 6.954
Tm 0.000 0.000 10.239
Tm 0.000 0.000 13.724
Cu 1.695 1.695 1.716
Cu 1.695 1.695 5.175
Cu 1.695 1.695 12.018
Cu 1.695 1.695 15.477
Ru 1.695 1.695 8.597

***

No. 3
10
Lattice="4.069 0.000 0.000 0.000 8.715 0.000 0.000 0.000 6.403" Properties=species:S:1:pos:R:3 comment="Tm3CuRu, relaxed, DFT PBE" delta_e_f_ev_per_atom=-0.31 final_energy_ev_per_atom=-5.663 pbc="T T T"
Tm 1.017 0.504 1.386
Tm 1.017 2.179 4.667
Tm 1.017 3.854 1.386
Tm 3.052 4.861 5.017
Tm 3.052 6.536 1.735
Tm 3.052 8.211 5.017
Cu 1.017 6.536 3.668
Cu 3.052 2.179 2.734
Ru 1.017 6.536 6.272
Ru 3.052 2.179 0.131

***

No. 4
11
Lattice="8.463 -2.514 0.000 8.463 2.514 0.000 -2.022 0.000 6.292" Properties=species:S:1:pos:R:3 comment="Tm8Cu2Ru, relaxed, DFT PBE" delta_e_f_ev_per_atom=-0.21 final_energy_ev_per_atom=-5.052 pbc="T T T"
Tm -0.055 0.000 1.852
Tm 1.694 0.000 5.137
Tm 4.576 0.000 3.302
Tm 6.791 0.000 0.375
Tm 8.113 0.000 5.917
Tm 10.329 0.000 2.990
Tm 13.211 0.000 1.155
Tm 14.959 0.000 4.440
Cu 2.671 0.000 1.347
Cu 12.233 0.000 4.945
Ru 7.452 0.000 3.146

***

No. 5
18
Lattice="-4.595 4.600 5.074 4.595 -4.600 5.074 4.595 4.600 -5.074" Properties=species:S:1:pos:R:3 comment="Tm6CuRu2, relaxed, DFT PBE" delta_e_f_ev_per_atom=-0.32 final_energy_ev_per_atom=-5.814 pbc="T T T"
Tm 4.595 -2.894 3.361
Tm 2.822 0.000 2.497
Tm 6.368 0.000 2.497
Tm 2.956 2.542 0.000
Tm 6.234 2.542 0.000
Tm 0.000 1.706 1.713
Tm 4.595 2.894 3.361
Tm -1.639 2.058 5.074
Tm 1.639 2.058 5.074
Tm -1.773 4.600 2.577
Tm 1.773 4.600 2.577
Tm 0.000 7.494 1.713
Cu 4.595 0.000 0.000
Cu 0.000 4.600 0.000
Ru 1.683 0.000 0.000
Ru 7.507 0.000 0.000
Ru 0.000 0.000 3.770
Ru 0.000 0.000 6.379

***

No. 6
11
Lattice="4.017 -6.573 0.000 4.017 6.573 0.000 -2.112 0.000 5.318" Properties=species:S:1:pos:R:3 comment="Tm8Cu2Ru, relaxed, DFT PBE" delta_e_f_ev_per_atom=-0.09 final_energy_ev_per_atom=-4.934 pbc="T T T"
Tm 0.000 0.000 0.000
Tm -0.054 1.609 3.132
Tm 2.509 2.673 1.018
Tm -0.054 -1.609 3.132
Tm 2.921 1.611 4.304
Tm 2.509 -2.673 1.018
Tm 2.921 -1.611 4.304
Tm 5.004 0.000 2.011
Cu 1.427 3.959 3.651
Cu 1.427 -3.959 3.651
Ru 2.773 0.000 0.328

***

No. 7
4
Lattice="3.944 0.000 0.000 0.000 3.944 0.000 0.000 0.000 3.999" Properties=species:S:1:pos:R:3 comment="TmCu2Ru, relaxed, DFT PBE" delta_e_f_ev_per_atom=-0.13 final_energy_ev_per_atom=-5.619 pbc="T T T"
Tm 0.000 0.000 0.000
Cu 0.000 1.972 1.999
Cu 1.972 0.000 1.999
Ru 1.972 1.972 0.000

***

No. 8
4
Lattice="3.374 0.000 0.000 0.000 3.374 0.000 0.000 0.000 6.863" Properties=species:S:1:pos:R:3 comment="Tm2CuRu, relaxed, DFT PBE" delta_e_f_ev_per_atom=-0.42 final_energy_ev_per_atom=-5.998 pbc="T T T"
Tm 0.000 0.000 1.648
Tm 0.000 0.000 5.214
Cu 1.687 1.687 3.431
Ru 1.687 1.687 0.000

***

No. 9
19
Lattice="6.126 3.537 3.710 -6.126 3.537 3.710 0.000 -7.074 3.710" Properties=species:S:1:pos:R:3 comment="Tm12CuRu6, relaxed, DFT PBE" delta_e_f_ev_per_atom=-0.20 final_energy_ev_per_atom=-6.172 pbc="T T T"
Tm -5.311 -1.306 6.105
Tm -1.525 -5.252 5.026
Tm -2.374 -0.340 4.313
Tm -3.786 3.947 5.026
Tm 1.481 -1.886 4.313
Tm -0.893 -2.226 6.817
Tm 0.893 2.226 4.313
Tm -1.481 1.886 6.817
Tm 3.786 -3.947 6.105
Tm 2.374 0.340 6.817
Tm 1.525 5.252 6.105
Tm 5.311 1.306 5.026
Cu 0.000 0.000 0.000
Ru -1.010 -2.839 3.908
Ru -1.953 2.294 3.908
Ru -2.964 -0.545 7.222
Ru 2.964 0.545 3.908
Ru 1.953 -2.294 7.222
Ru 1.010 2.839 7.222

***

No. 10
16
Lattice="6.316 0.000 0.000 0.000 6.316 0.000 0.000 0.000 6.316" Properties=species:S:1:pos:R:3 comment="TmCu2Ru, relaxed, DFT PBE" delta_e_f_ev_per_atom=-0.05 final_energy_ev_per_atom=-5.535 pbc="T T T"
Tm 0.000 0.000 0.000
Tm 0.000 3.158 3.158
Tm 3.158 0.000 3.158
Tm 3.158 3.158 0.000
Cu 1.579 1.579 1.579
Cu 1.579 1.579 4.737
Cu 1.579 4.737 1.579
Cu 1.579 4.737 4.737
Cu 4.737 1.579 1.579
Cu 4.737 1.579 4.737
Cu 4.737 4.737 1.579
Cu 4.737 4.737 4.737
Ru 0.000 0.000 3.158
Ru 0.000 3.158 0.000
Ru 3.158 0.000 0.000
Ru 3.158 3.158 3.158

***

No. 11
6
Lattice="0.000 3.497 3.497 3.497 0.000 3.497 3.497 3.497 0.000" Properties=species:S:1:pos:R:3 comment="TmCu4Ru, relaxed, DFT PBE" delta_e_f_ev_per_atom=-0.11 final_energy_ev_per_atom=-5.130 pbc="T T T"
Tm 0.000 0.000 0.000
Cu 2.630 2.630 2.630
Cu 4.365 4.365 2.630
Cu 4.365 2.630 4.365
Cu 2.630 4.365 4.365
Ru 5.246 5.246 5.246

***

No. 12
11
Lattice="4.205 -6.198 0.000 4.205 6.198 0.000 -1.685 0.000 5.432" Properties=species:S:1:pos:R:3 comment="Tm8CuRu2, relaxed, DFT PBE" delta_e_f_ev_per_atom=-0.20 final_energy_ev_per_atom=-5.507 pbc="T T T"
Tm 0.000 0.000 0.000
Tm 0.423 1.630 3.213
Tm 2.796 2.791 1.048
Tm 0.423 -1.630 3.213
Tm 3.546 1.635 4.263
Tm 2.796 -2.791 1.048
Tm 3.546 -1.635 4.263
Tm 5.576 0.000 2.081
Cu 2.542 0.000 1.821
Ru 1.986 3.865 3.748
Ru 1.986 -3.865 3.748

***

No. 13
8
Lattice="4.775 0.000 0.000 0.000 4.775 0.000 0.000 0.000 6.802" Properties=species:S:1:pos:R:3 comment="Tm2CuRu, relaxed, DFT PBE" delta_e_f_ev_per_atom=-0.41 final_energy_ev_per_atom=-5.987 pbc="T T T"
Tm 0.000 2.387 1.701
Tm 0.000 2.387 5.102
Tm 2.387 0.000 1.701
Tm 2.387 0.000 5.102
Cu 0.000 0.000 0.000
Cu 2.387 2.387 3.401
Ru 0.000 0.000 3.401
Ru 2.387 2.387 0.000

***

No. 14
7
Lattice="2.377 1.373 7.723 -2.377 1.373 7.723 0.000 -2.745 7.723" Properties=species:S:1:pos:R:3 comment="Tm4CuRu2, relaxed, DFT PBE" delta_e_f_ev_per_atom=-0.38 final_energy_ev_per_atom=-6.174 pbc="T T T"
Tm 0.000 0.000 2.836
Tm 0.000 0.000 8.641
Tm 0.000 0.000 14.528
Tm 0.000 0.000 20.333
Cu 0.000 0.000 11.584
Ru 0.000 0.000 5.732
Ru 0.000 0.000 17.437

***

No. 15
16
Lattice="6.582 0.000 0.000 0.000 10.959 0.000 -2.336 0.000 6.162" Properties=species:S:1:pos:R:3 comment="Tm6CuRu, relaxed, DFT PBE" delta_e_f_ev_per_atom=-0.08 final_energy_ev_per_atom=-5.109 pbc="T T T"
Tm 1.032 0.000 1.564
Tm -0.113 1.956 4.595
Tm -0.113 9.003 4.595
Tm 1.068 3.523 1.567
Tm -0.077 5.479 4.598
Tm 1.068 7.436 1.567
Tm 3.177 3.523 4.595
Tm 4.323 5.479 1.564
Tm 3.177 7.436 4.595
Tm 3.214 0.000 4.598
Tm 4.359 1.956 1.567
Tm 4.359 9.003 1.567
Cu 0.000 5.479 0.000
Cu 3.291 0.000 0.000
Ru -1.168 0.000 3.081
Ru 2.123 5.479 3.081

***

No. 16
8
Lattice="4.768 0.000 0.000 0.000 4.768 0.000 0.000 0.000 6.735" Properties=species:S:1:pos:R:3 comment="Tm4CuRu3, relaxed, DFT PBE" delta_e_f_ev_per_atom=-0.45 final_energy_ev_per_atom=-6.672 pbc="T T T"
Tm 0.000 2.384 1.649
Tm 0.000 2.384 5.087
Tm 2.384 0.000 1.649
Tm 2.384 0.000 5.087
Cu 0.000 0.000 3.368
Ru 0.000 0.000 0.000
Ru 2.384 2.384 0.000
Ru 2.384 2.384 3.368

***

No. 17
12
Lattice="4.828 0.000 0.000 0.000 6.795 0.000 -2.413 0.000 7.251" Properties=species:S:1:pos:R:3 comment="Tm6Cu5Ru, relaxed, DFT PBE" delta_e_f_ev_per_atom=-0.33 final_energy_ev_per_atom=-5.045 pbc="T T T"
Tm 0.000 1.659 0.000
Tm 0.000 5.136 0.000
Tm 0.001 1.677 4.867
Tm 0.001 5.118 4.867
Tm 2.414 1.677 2.384
Tm 2.414 5.118 2.384
Cu 0.003 3.398 2.393
Cu 0.006 0.000 2.404
Cu 2.414 3.398 0.000
Cu 2.409 0.000 4.846
Cu 2.412 3.398 4.858
Ru 2.414 0.000 0.000

***

No. 18
18
Lattice="-4.651 4.704 4.771 4.651 -4.704 4.771 4.651 4.704 -4.771" Properties=species:S:1:pos:R:3 comment="Tm6Cu2Ru, relaxed, DFT PBE" delta_e_f_ev_per_atom=-0.25 final_energy_ev_per_atom=-5.169 pbc="T T T"
Tm 4.651 3.058 -2.417
Tm 3.054 0.000 2.011
Tm 6.247 0.000 2.011
Tm 2.205 2.949 0.000
Tm 2.445 -1.755 4.771
Tm 0.000 1.646 2.353
Tm 4.651 3.058 2.417
Tm 2.205 6.459 0.000
Tm 2.445 1.755 4.771
Tm -1.596 4.704 2.760
Tm 1.596 4.704 2.760
Tm 0.000 1.646 7.188
Cu 1.154 0.000 0.000
Cu 8.147 0.000 0.000
Cu 4.651 1.387 0.000
Cu 0.000 3.317 4.771
Ru 0.000 4.704 0.000
Ru 0.000 0.000 4.771

***

No. 19
11
Lattice="8.607 -2.404 0.000 8.607 2.404 0.000 -2.077 0.000 6.476" Properties=species:S:1:pos:R:3 comment="Tm8CuRu2, relaxed, DFT PBE" delta_e_f_ev_per_atom=-0.25 final_energy_ev_per_atom=-5.561 pbc="T T T"
Tm -0.023 0.000 1.837
Tm 1.808 0.000 5.281
Tm 4.568 0.000 3.467
Tm 6.871 0.000 0.237
Tm 8.266 0.000 6.239
Tm 10.570 0.000 3.008
Tm 13.329 0.000 1.195
Tm 15.160 0.000 4.638
Cu 7.569 0.000 3.238
Ru 2.764 0.000 1.316
Ru 12.374 0.000 5.159

***

No. 20
16
Lattice="6.835 0.000 0.000 0.000 6.835 0.000 0.000 0.000 6.835" Properties=species:S:1:pos:R:3 comment="YTmCuRu, relaxed, DFT PBE" delta_e_f_ev_per_atom=-0.35 final_energy_ev_per_atom=-6.430 pbc="T T T"
Y 0.000 0.000 0.000
Y 0.000 3.417 3.417
Y 3.417 0.000 3.417
Y 3.417 3.417 0.000
Tm 0.000 0.000 3.417
Tm 0.000 3.417 0.000
Tm 3.417 0.000 0.000
Tm 3.417 3.417 3.417
Cu 1.709 1.709 5.126
Cu 1.709 5.126 1.709
Cu 5.126 1.709 1.709
Cu 5.126 5.126 5.126
Ru 1.709 1.709 1.709
Ru 1.709 5.126 5.126
Ru 5.126 1.709 5.126
Ru 5.126 5.126 1.709

***

No. 21
20
Lattice="9.867 0.000 0.000 0.000 9.867 0.000 0.000 0.000 3.491" Properties=species:S:1:pos:R:3 comment="Tm2Zn5CuRu2, relaxed, DFT PBE" delta_e_f_ev_per_atom=-0.17 final_energy_ev_per_atom=-3.966 pbc="T T T"
Tm 1.748 3.186 0.000
Tm 3.186 8.119 0.000
Tm 6.681 1.748 0.000
Tm 8.119 6.681 0.000
Zn 0.000 4.933 1.745
Zn 0.532 8.016 1.745
Zn 1.851 0.532 1.745
Zn 3.082 5.465 1.745
Zn 4.402 3.082 1.745
Zn 4.933 0.000 1.745
Zn 5.465 6.785 1.745
Zn 6.785 4.402 1.745
Zn 8.016 9.335 1.745
Zn 9.335 1.851 1.745
Cu 0.000 0.000 0.000
Cu 4.933 4.933 0.000
Ru 1.301 6.234 0.000
Ru 3.633 1.301 0.000
Ru 6.234 8.566 0.000
Ru 8.566 3.633 0.000

***

No. 22
8
Lattice="2.411 1.392 7.862 -2.411 1.392 7.862 0.000 -2.784 7.862" Properties=species:S:1:pos:R:3 comment="Tm4ZnCuRu2, relaxed, DFT PBE" delta_e_f_ev_per_atom=-0.41 final_energy_ev_per_atom=-5.632 pbc="T T T"
Tm 0.000 0.000 2.909
Tm 0.000 0.000 8.810
Tm 0.000 0.000 14.777
Tm 0.000 0.000 20.678
Zn 0.000 0.000 11.793
Cu 0.000 0.000 0.000
Ru 0.000 0.000 5.881
Ru 0.000 0.000 17.706